Below is a geometry-optimized LaCoPt2 structure, with properties calculated at the PBE level. Values from VASP.

```
&SYSTEM
  ibrav = 0, nat = 4, ntyp = 3
/
ATOMIC_SPECIES
Pt 195.08 Pt.upf
Co 58.93 Co.upf
La 138.91 La.upf
CELL_PARAMETERS angstrom
-8.888 2.440 3.092
-9.204 -0.483 3.095
-8.022 0.870 5.423
ATOMIC_POSITIONS angstrom
Pt -25.932 2.808 11.529
Pt -6.399 0.693 2.845
Co -13.341 1.444 5.931
La -19.613 2.123 8.720
```

Properties
Calculated total energy in eV per atom: -5.77
DOS(E_F) in states/eV/cell: 5.81
DFT formation energy in eV per atom: 0.2549